No. 1
Here is crystalline LiIrPt2 at its relaxed geometry from Alexandria via LeMat-Bulk. Energies are from GGA-PBE.

For the density, the calculation gives 16.66 g cm⁻³. The space-group type is No. 99. For the formation energy, the calculation gives -0.004 eV per atom. The energy above the most stable polymorph in this dataset is 35.3 kJ per mole of atoms. As for the magnetic moment: 0.000 μB per cell.

```
LiIrPt2
1.0
3.288 0.000 0.000
0.000 3.288 0.000
0.000 0.000 5.435
Li Ir Pt
1 1 2
Direct
0.000 0.000 0.000
0.500 0.500 0.734
0.000 0.000 0.506
0.500 0.500 0.224
```


No. 2
Here is crystalline Li2IrPt at its relaxed geometry from Alexandria via LeMat-Bulk. Energies are from GGA-PBE.

For the density, the calculation gives 11.88 g cm⁻³. The space-group type is No. 123. For the formation energy, the calculation gives -0.239 eV per atom. The energy above the most stable polymorph in this dataset is 19.0 kJ per mole of atoms. As for the magnetic moment: 0.000 μB per cell.

```
Li2IrPt
1.0
2.631 0.000 0.000
0.000 2.631 0.000
0.000 0.000 8.101
Li Ir Pt
2 1 1
Direct
0.000 0.000 0.245
0.000 0.000 0.755
0.500 0.500 0.500
0.500 0.500 0.000
```


No. 3
Here is crystalline Li2IrPt at its relaxed geometry from Alexandria via LeMat-Bulk. Energies are from GGA-PBE.

For the density, the calculation gives 11.86 g cm⁻³. The space-group type is No. 65. For the formation energy, the calculation gives -0.239 eV per atom. The energy above the most stable polymorph in this dataset is 19.1 kJ per mole of atoms. As for the magnetic moment: 0.000 μB per cell.

```
Li2IrPt
1.0
2.669 -4.055 0.000
2.669 4.055 0.000
0.000 0.000 2.595
Li Ir Pt
2 1 1
Direct
0.000 0.500 0.000
0.500 0.000 0.000
0.000 0.000 0.500
0.500 0.500 0.500
```


Number 1: calculated volume 59 Å³/f.u.. Number 2: calculated volume 56 Å³/f.u.. Number 3: calculated volume 56 Å³/f.u..